SiPbSe2N: relaxed, PBE.

abc: 5.5438 5.5438 4.3813
angles: 90.00 90.00 90.00
With the nearest neighbours (Å) after each atom.
Fractional coordinates of all 5 atoms:
Si 0.0000 0.0000 0.0000  8 Se 3.53, 4 N 3.92
Pb 0.5000 0.5000 0.5000  2 N 2.19
Se 0.0000 0.5000 0.5000  2 Pb 2.77
Se 0.5000 0.0000 0.5000  2 Pb 2.77
N 0.5000 0.5000 0.0000  2 Pb 2.19

Computed properties:
For the density, the calculation gives 5.02 g/cm³. The calculation puts the total energy at -3.61 eV/atom. The density of states at the Fermi level comes out at 1.86 states/eV per cell. The space group is P4/mmm (123). The value obtained for the energy relative to the elements, uncorrected is 6.36 eV/f.u.

***

Li3La2In4: relaxed, PBE.

abc: 8.9648 8.9648 8.4862
angles: 90.00 90.00 139.21
With the nearest neighbours (Å) after each atom.
Fractional coordinates of all 18 atoms:
Li 0.0000 0.0000 0.0000  6 In 2.85-2.93
Li 0.0175 0.4825 0.2500  5 In 2.81-3.01, 2 Li 3.12
Li 0.4825 0.0175 0.7500  5 In 2.81-3.01, 2 Li 3.12
Li 0.5000 0.5000 0.5000  6 In 2.85-2.93
Li 0.5175 0.9825 0.2500  5 In 2.81-3.01, 2 Li 3.12
Li 0.9825 0.5175 0.7500  5 In 2.81-3.01, 2 Li 3.12
La 0.1052 0.8948 0.4009  4 Li 3.39-3.69, 7 In 3.42-3.52
La 0.3948 0.6052 0.9009  4 Li 3.39-3.69, 7 In 3.42-3.52
La 0.6052 0.3948 0.0991  4 Li 3.39-3.69, 7 In 3.42-3.52
La 0.8948 0.1052 0.5991  4 Li 3.39-3.69, 7 In 3.42-3.52
In 0.1744 0.8256 0.0092  5 Li 2.87-3.01
In 0.1848 0.3152 0.2500  3 Li 2.81-2.85, 2 In 3.12
In 0.3152 0.1848 0.7500  3 Li 2.81-2.85, 2 In 3.12
In 0.3256 0.6744 0.5092  5 Li 2.87-3.01
In 0.6744 0.3256 0.4908  5 Li 2.87-3.01
In 0.6848 0.8152 0.2500  3 Li 2.81-2.85, 2 In 3.12
In 0.8152 0.6848 0.7500  3 Li 2.81-2.85, 2 In 3.12
In 0.8256 0.1744 0.9908  5 Li 2.87-3.01

Computed properties:
For the density, the calculation gives 5.65 g/cm³. The formation energy comes out at -0.3636 eV/atom. The calculation puts the total energy at -3.31 eV/atom. The density of states at the Fermi level comes out at 11.72 states/eV per cell. The space group is Cmce (64).

***

Ba2ScCd: relaxed, PBE.

abc: 8.5717 8.6061 4.1588
angles: 90.00 90.00 90.00
With the nearest neighbours (Å) after each atom.
Fractional coordinates of all 8 atoms:
Ba 0.2500 0.2500 0.0000  4 Cd 3.68, 4 Sc 3.68
Ba 0.2500 0.7500 0.0000  4 Cd 3.68, 4 Sc 3.68
Ba 0.7500 0.2500 0.0000  4 Sc 3.68, 4 Cd 3.68
Ba 0.7500 0.7500 0.0000  4 Cd 3.68, 4 Sc 3.68
Sc 0.0000 0.0000 0.5000  8 Ba 3.68
Sc 0.5000 0.5000 0.5000  8 Ba 3.68
Cd 0.0000 0.5000 0.5000  8 Ba 3.68
Cd 0.5000 0.0000 0.5000  8 Ba 3.68

Computed properties:
For the density, the calculation gives 4.68 g/cm³. The formation energy comes out at 0.1017 eV/atom. The calculation puts the total energy at -2.67 eV/atom. The density of states at the Fermi level comes out at 8.19 states/eV per cell. The space group is Cmmm (65).

***

AcLa2ThN4: relaxed, PBE.

abc: 6.5071 3.7626 6.5461
angles: 90.00 109.48 90.00
With the nearest neighbours (Å) after each atom.
Fractional coordinates of all 8 atoms:
Ac 0.0000 0.0000 0.0000  6 N 2.70
La 0.5000 0.0000 0.5000  6 N 2.63
La 0.5000 0.5000 0.0000  6 N 2.74-2.80
Th 0.0000 0.5000 0.5000  6 N 2.53-2.59
N 0.2385 0.0000 0.7321  2 Th 2.59, 3 La 2.63-2.74, 1 Ac 2.70
N 0.2444 0.5000 0.2697  1 Th 2.53, 3 La 2.63-2.80, 2 Ac 2.70
N 0.7556 0.5000 0.7303  1 Th 2.53, 3 La 2.63-2.80, 2 Ac 2.70
N 0.7615 0.0000 0.2679  2 Th 2.59, 3 La 2.63-2.74, 1 Ac 2.70

Computed properties:
For the density, the calculation gives 8.71 g/cm³. The calculation puts the total energy at -8.18 eV/atom. The density of states at the Fermi level comes out at 2.35 states/eV per cell. The space group is P2/m (10). The value obtained for the energy relative to the elements, uncorrected is -10.74 eV/f.u.

***

TbDy7Tm12: relaxed, PBE.

abc: 8.5671 8.5671 8.5671
angles: 95.17 95.17 95.17
With the nearest neighbours (Å) after each atom.
Fractional coordinates of all 20 atoms:
Tb 0.0000 0.0000 0.0000  6 Dy 3.04
Dy 0.0210 0.3537 0.0848  2 Tm 3.03-3.32, 1 Tb 3.04, 1 Dy 3.04
Dy 0.0848 0.0210 0.3537  2 Tm 3.03-3.32, 1 Tb 3.04, 1 Dy 3.04
Dy 0.3537 0.0848 0.0210  2 Tm 3.03-3.32, 1 Tb 3.04, 1 Dy 3.04
Dy 0.5000 0.5000 0.5000  6 Tm 3.02
Dy 0.6463 0.9152 0.9790  2 Tm 3.03-3.32, 1 Tb 3.04, 1 Dy 3.04
Dy 0.9152 0.9790 0.6463  2 Tm 3.03-3.32, 1 Tb 3.04, 1 Dy 3.04
Dy 0.9790 0.6463 0.9152  2 Tm 3.03-3.32, 1 Tb 3.04, 1 Dy 3.04
Tm 0.1484 0.4823 0.4179  2 Dy 3.02-3.03, 2 Tm 3.04-3.30
Tm 0.1859 0.3145 0.7490  3 Tm 3.30-3.48, 3 Dy 3.32-3.52
Tm 0.2510 0.8141 0.6855  3 Tm 3.30-3.48, 3 Dy 3.32-3.52
Tm 0.3145 0.7490 0.1859  3 Tm 3.30-3.48, 3 Dy 3.32-3.52
Tm 0.4179 0.1484 0.4823  2 Dy 3.02-3.03, 2 Tm 3.04-3.30
Tm 0.4823 0.4179 0.1484  2 Dy 3.02-3.03, 2 Tm 3.04-3.30
Tm 0.5177 0.5821 0.8516  2 Dy 3.02-3.03, 2 Tm 3.04-3.30
Tm 0.5821 0.8516 0.5177  2 Dy 3.02-3.03, 2 Tm 3.04-3.30
Tm 0.6855 0.2510 0.8141  3 Tm 3.30-3.48, 3 Dy 3.32-3.52
Tm 0.7490 0.1859 0.3145  3 Tm 3.30-3.48, 3 Dy 3.32-3.52
Tm 0.8141 0.6855 0.2510  3 Tm 3.30-3.48, 3 Dy 3.32-3.52
Tm 0.8516 0.5177 0.5821  2 Dy 3.02-3.03, 2 Tm 3.04-3.30

Computed properties:
For the density, the calculation gives 8.89 g/cm³. The formation energy comes out at 0.3115 eV/atom. The calculation puts the total energy at -4.21 eV/atom. The density of states at the Fermi level comes out at 17.42 states/eV per cell. The space group is R-3 (148).

***

CaTbTm4: relaxed, PBE.

abc: 6.5749 6.5749 6.5749
angles: 60.00 60.00 60.00
With the nearest neighbours (Å) after each atom.
Fractional coordinates of all 6 atoms:
Ca 0.0000 0.0000 0.0000  12 Tm 3.86, 4 Tb 4.03
Tb 0.7500 0.7500 0.7500  12 Tm 3.85, 4 Ca 4.03
Tm 0.3763 0.3763 0.3763  6 Tm 3.25-3.32
Tm 0.3763 0.3763 0.8710  6 Tm 3.25-3.32
Tm 0.3763 0.8710 0.3763  6 Tm 3.25-3.32
Tm 0.8710 0.3763 0.3763  6 Tm 3.25-3.32

Computed properties:
For the density, the calculation gives 7.23 g/cm³. The formation energy comes out at 0.2266 eV/atom. The calculation puts the total energy at -3.86 eV/atom. The density of states at the Fermi level comes out at 8.86 states/eV per cell. The space group is F-43m (216).

***

CeMnCo: relaxed, PBE.

abc: 3.5074 3.5074 8.0877
angles: 90.00 90.00 90.00
With the nearest neighbours (Å) after each atom.
Fractional coordinates of all 6 atoms:
Ce 0.0000 0.0000 0.0000  1 Mn 2.20, 1 Co 2.37
Ce 0.5000 0.5000 0.5000  1 Mn 2.20, 1 Co 2.37
Mn 0.0000 0.0000 0.2721  1 Ce 2.20
Mn 0.5000 0.5000 0.7721  1 Ce 2.20
Co 0.0000 0.0000 0.7069  1 Ce 2.37, 4 Mn 2.54
Co 0.5000 0.5000 0.2069  1 Ce 2.37, 4 Mn 2.54

Computed properties:
For the density, the calculation gives 8.48 g/cm³. The formation energy comes out at 0.1814 eV/atom. The calculation puts the total energy at -7.22 eV/atom. The density of states at the Fermi level comes out at 5.81 states/eV per cell. The space group is I4mm (107).

***

Sc2Cu2O5: relaxed, PBE.

abc: 5.6508 3.4125 5.8599
angles: 90.00 105.74 90.00
With the nearest neighbours (Å) after each atom.
Fractional coordinates of all 9 atoms:
Sc 0.0000 0.0000 0.0000  6 O 2.09-2.18
Sc 0.4838 0.5000 0.9358  6 O 2.13-2.23
Cu 0.0024 0.5000 0.4842  3 O 1.85-2.07
Cu 0.4870 0.0000 0.4727  4 O 1.86-1.89
O 0.0927 0.5000 0.8130  1 Cu 1.85
O 0.3747 0.5000 0.5112  3 Cu 1.86-2.07
O 0.3865 0.0000 0.1367  1 Cu 1.89, 1 Sc 2.11
O 0.6319 0.0000 0.8006  1 Cu 1.87, 1 Sc 2.09
O 0.8660 0.5000 0.1600  1 Cu 1.85

Computed properties:
For the density, the calculation gives 4.53 g/cm³. The calculation puts the total energy at -7.20 eV/atom. The density of states at the Fermi level comes out at 1.62 states/eV per cell. The space group is Pm (6). The value obtained for the energy relative to the elements, uncorrected is -19.13 eV/f.u.

***

BeZnP3: relaxed, PBE.

abc: 4.5816 4.5816 4.5816
angles: 90.00 90.00 90.00
With the nearest neighbours (Å) after each atom.
Fractional coordinates of all 5 atoms:
Be 0.0000 0.0000 0.0000  12 P 3.24
Zn 0.5000 0.5000 0.5000  6 P 2.29
P 0.0000 0.5000 0.5000  2 Zn 2.29
P 0.5000 0.0000 0.5000  2 Zn 2.29
P 0.5000 0.5000 0.0000  2 Zn 2.29

Computed properties:
For the density, the calculation gives 2.89 g/cm³. The formation energy comes out at 1.3717 eV/atom. The calculation puts the total energy at -2.87 eV/atom. The density of states at the Fermi level comes out at 2.87 states/eV per cell. The space group is Pm-3m (221).

***

RbY6Se8: relaxed, PBE.

abc: 11.0417 11.0417 4.1728
angles: 90.00 90.00 120.00
With the nearest neighbours (Å) after each atom.
Fractional coordinates of all 15 atoms:
Rb 0.0000 0.0000 0.0000  6 Se 3.86, 2 Rb 4.17
Y 0.1379 0.4820 0.7499  6 Se 2.86-2.96
Y 0.3440 0.8621 0.7499  6 Se 2.86-2.96
Y 0.4820 0.3440 0.2501  6 Se 2.86-2.96
Y 0.5180 0.6560 0.7499  6 Se 2.86-2.96
Y 0.6560 0.1379 0.2501  6 Se 2.86-2.96
Y 0.8621 0.5180 0.2501  6 Se 2.86-2.96
Se 0.0452 0.6880 0.7504  4 Y 2.86-2.92
Se 0.3120 0.3572 0.7504  4 Y 2.86-2.92
Se 0.3333 0.6667 0.2497  6 Y 2.96
Se 0.3572 0.0452 0.2496  4 Y 2.86-2.92
Se 0.6428 0.9548 0.7504  4 Y 2.86-2.92
Se 0.6667 0.3333 0.7503  6 Y 2.96
Se 0.6880 0.6428 0.2496  4 Y 2.86-2.92
Se 0.9548 0.3120 0.2496  4 Y 2.86-2.92

Computed properties:
For the density, the calculation gives 4.71 g/cm³. The calculation puts the total energy at -6.27 eV/atom. The density of states at the Fermi level comes out at 10.55 states/eV per cell. The space group is P-3 (147). The value obtained for the energy relative to the elements, uncorrected is -26.35 eV/f.u.

***

TbCeCu: relaxed, PBE.

abc: 4.7862 4.7862 3.5540
angles: 90.00 90.00 120.00
With the nearest neighbours (Å) after each atom.
Fractional coordinates of all 3 atoms:
Tb 0.0000 0.0000 0.0000  3 Cu 2.94, 3 Ce 3.10
Ce 0.6667 0.3333 0.6064  3 Cu 2.99, 3 Tb 3.10
Cu 0.3333 0.6667 0.2855  3 Tb 2.94, 3 Ce 2.99

Computed properties:
For the density, the calculation gives 8.54 g/cm³. The formation energy comes out at 0.1256 eV/atom. The calculation puts the total energy at -4.76 eV/atom. The density of states at the Fermi level comes out at 5.42 states/eV per cell. The space group is P3m1 (156).

***

KRbHf2: relaxed, PBE.

abc: 9.9518 9.9518 5.8464
angles: 90.00 90.00 90.00
With the nearest neighbours (Å) after each atom.
Fractional coordinates of all 16 atoms:
K 0.0000 0.0000 0.0000  2 Rb 2.92
K 0.0000 0.5000 0.2500  2 Rb 2.92
K 0.5000 0.0000 0.7500  2 Rb 2.92
K 0.5000 0.5000 0.5000  2 Rb 2.92
Rb 0.0000 0.0000 0.5000  2 K 2.92
Rb 0.0000 0.5000 0.7500  2 K 2.92
Rb 0.5000 0.0000 0.2500  2 K 2.92
Rb 0.5000 0.5000 0.0000  2 K 2.92
Hf 0.2492 0.7500 0.1250  2 Hf 2.92
Hf 0.2500 0.2492 0.8750  2 Hf 2.92
Hf 0.2500 0.2508 0.3750  2 Hf 2.92
Hf 0.2508 0.7500 0.6250  2 Hf 2.92
Hf 0.7492 0.2500 0.6250  2 Hf 2.92
Hf 0.7500 0.7492 0.3750  2 Hf 2.92
Hf 0.7500 0.7508 0.8750  2 Hf 2.92
Hf 0.7508 0.2500 0.1250  2 Hf 2.92

Computed properties:
For the density, the calculation gives 5.52 g/cm³. The formation energy comes out at 1.6694 eV/atom. The calculation puts the total energy at -3.82 eV/atom. The density of states at the Fermi level comes out at 23.73 states/eV per cell. The space group is I-42d (122).

***

- What is the total energy in the tenth record?
  -6.27 eV/atom

***

- total energy of number 8 (Sc2Cu2O5)?
  -7.20 eV/atom

***

Copy entry 8 word for word.
Sc2Cu2O5: relaxed, PBE.

abc: 5.6508 3.4125 5.8599
angles: 90.00 105.74 90.00
With the nearest neighbours (Å) after each atom.
Fractional coordinates of all 9 atoms:
Sc 0.0000 0.0000 0.0000  6 O 2.09-2.18
Sc 0.4838 0.5000 0.9358  6 O 2.13-2.23
Cu 0.0024 0.5000 0.4842  3 O 1.85-2.07
Cu 0.4870 0.0000 0.4727  4 O 1.86-1.89
O 0.0927 0.5000 0.8130  1 Cu 1.85
O 0.3747 0.5000 0.5112  3 Cu 1.86-2.07
O 0.3865 0.0000 0.1367  1 Cu 1.89, 1 Sc 2.11
O 0.6319 0.0000 0.8006  1 Cu 1.87, 1 Sc 2.09
O 0.8660 0.5000 0.1600  1 Cu 1.85

Computed properties:
For the density, the calculation gives 4.53 g/cm³. The calculation puts the total energy at -7.20 eV/atom. The density of states at the Fermi level comes out at 1.62 states/eV per cell. The space group is Pm (6). The value obtained for the energy relative to the elements, uncorrected is -19.13 eV/f.u.